Record 1
A plane-wave DFT calculation with PBE-GGA was carried out for a geometry-optimized Pm12CoAg6 structure.

The value obtained for the formation energy is -0.076 eV/atom.

The structure belongs to space group R-3 (No. 148, hexagonal axes); the cell edges are 12.0350, 12.0350 and 13.3506 Å and the angles 90.00°, 90.00° and 120.00°. The distinct sites, in fractional coordinates, are Pm at (0.0371, 0.8463, 0.3784), Pm at (0.0391, 0.1925, 0.8877), Co at (0.0000, 0.0000, 0.5000) and Ag at (0.0035, 0.3992, 0.7558).

Record 2
A plane-wave DFT calculation with PBE-GGA was carried out for a geometry-optimized SrTaMn2 structure.

The energy above the lowest structure with this stoichiometry is 0.218 eV/atom. The value obtained for the formation energy is 0.591 eV/atom.

The structure belongs to space group Cmm2 (No. 35); the cell edges are 4.294, 4.301 and 8.422 Å and the angles 90.00°, 90.00° and 90.00°. The distinct sites, in fractional coordinates, are Sr at (0.000, 0.000, 0.000), Ta at (0.000, 0.500, 0.656), Mn at (0.000, 0.000, 0.443) and Mn at (0.000, 0.500, 0.312).

Record 3
A plane-wave DFT calculation with PBE-GGA was carried out for a geometry-optimized TaIn4W structure.

The value obtained for the formation energy is 1.026 eV/atom.

The structure belongs to space group F-43m (No. 216); the cell edges are 7.920, 7.920 and 7.920 Å and the angles 90.00°, 90.00° and 90.00°. The distinct sites, in fractional coordinates, are Ta at (0.000, 0.000, 0.000), In at (0.125, 0.125, 0.375) and W at (0.250, 0.250, 0.750).

Record 4
A plane-wave DFT calculation with PBE-GGA was carried out for a geometry-optimized Sm2GaAg structure.

The value obtained for the formation energy is -0.427 eV/atom.

The structure belongs to space group P4/mmm (No. 123); the cell edges are 3.623, 3.623 and 7.586 Å and the angles 90.00°, 90.00° and 90.00°. The distinct sites, in fractional coordinates, are Sm at (0.000, 0.000, 0.243), Ga at (0.500, 0.500, 0.000) and Ag at (0.500, 0.500, 0.500).

Record 5
A plane-wave DFT calculation with PBE-GGA was carried out for a geometry-optimized GeSbI2O structure.

The energy above the lowest structure with this stoichiometry is 0.085 eV/atom. The uncorrected formation energy is 0.0008 eV/atom.

The structure belongs to space group P4/mmm (No. 123); the cell edges are 6.133, 6.133 and 4.072 Å and the angles 90.00°, 90.00° and 90.00°. The distinct sites, in fractional coordinates, are Ge at (0.000, 0.000, 0.000), Sb at (0.500, 0.500, 0.500), I at (0.000, 0.500, 0.500) and O at (0.500, 0.500, 0.000).

Record 6
A plane-wave DFT calculation with PBE-GGA was carried out for a geometry-optimized TcRu2Rh structure.

The energy above the lowest structure with this stoichiometry is 0.100 eV/atom. The value obtained for the formation energy is 0.024 eV/atom.

The structure belongs to space group I-4m2 (No. 119); the cell edges are 3.842, 3.842 and 7.650 Å and the angles 90.00°, 90.00° and 90.00°. The distinct sites, in fractional coordinates, are Tc at (0.000, 0.000, 0.000), Ru at (0.000, 0.000, 0.500), Ru at (0.000, 0.500, 0.250) and Rh at (0.000, 0.500, 0.750).